Below is a relaxed structure of Tb2SmCdPd4, with properties calculated at the PBE-GGA level.

a = 4.9222 Å, b = 4.9222 Å, c = 24.1111 Å
α = 90.00°, β = 90.00°, γ = 120.00°
Space group R-3m (No. 166, hexagonal axes)
Inequivalent atoms, fractional coordinates:
Tb1 0.0000 0.0000 0.2432 x6
Sm1 0.0000 0.0000 0.0000 x3
Cd1 0.0000 0.0000 0.5000 x3
Pd1 0.0000 0.0000 0.1217 x6
Pd2 0.0000 0.0000 0.3745 x6

final energy = -41.8 eV per formula unit
formation energy = -0.771 eV per atom
theoretical density = 9.91 g/cm3